Material: Ac3Pm2NdTe6
Method: DFT, PBE-GGA
State: relaxed

a b c (Å): 4.574 9.276 10.315
angles (deg): 103.71 102.81 90.00
Element x y z (fractional)
Ac 0.500 0.500 0.000
Ac 0.834 0.167 0.668
Ac 0.166 0.833 0.332
Pm 0.833 0.667 0.667
Pm 0.167 0.333 0.333
Nd 0.500 0.000 0.000
Te 0.336 0.907 0.672
Te 0.671 0.574 0.341
Te 0.664 0.093 0.328
Te 0.004 0.242 0.008
Te 0.996 0.758 0.992
Te 0.329 0.426 0.659

Its formation energy from raw total energies is -1.449 eV/atom. For the raw total energy, the calculation gives -5.236 eV per atom. The total moment is 0.00 μB/atom. As for the crystal system: monoclinic.